Entry 1:
Below is a relaxed structure of Dy2AlB2Ru5, with properties calculated at the PBE-GGA level.

Lattice parameters (Å, degrees): 3.117 9.574 9.574 90.00 90.00 90.00
Atoms (fractional coordinates):
Dy1 0.000 0.676 0.176
Dy2 0.000 0.324 0.824
Dy3 0.000 0.176 0.324
Dy4 0.000 0.824 0.676
Al1 0.000 0.000 0.000
Al2 0.000 0.500 0.500
B1 0.000 0.124 0.624
B2 0.000 0.876 0.376
B3 0.000 0.624 0.876
B4 0.000 0.376 0.124
Ru1 0.500 0.218 0.069
Ru2 0.500 0.782 0.931
Ru3 0.500 0.069 0.782
Ru4 0.500 0.718 0.431
Ru5 0.500 0.931 0.218
Ru6 0.500 0.282 0.569
Ru7 0.500 0.569 0.718
Ru8 0.500 0.431 0.282
Ru9 0.500 0.500 0.000
Ru10 0.500 0.000 0.500

Values from the calculation:
- final energy (eV per atom) = -7.7677
- size of the total moment (μB/cell) = 0.0
- formation energy (eV/f.u.) = -5.0


Entry 2:
Below is a relaxed structure of MgCu2P, with properties calculated at the PBE-GGA level.

Lattice parameters (Å, degrees): 4.123 4.123 8.328 75.67 75.67 90.00
Atoms (fractional coordinates):
P1 0.000 0.000 0.000
P2 0.750 0.250 0.500
Mg1 0.500 0.500 0.000
Mg2 0.250 0.750 0.500
Cu1 0.720 0.125 0.250
Cu2 0.030 0.625 0.250
Cu3 0.375 0.280 0.750
Cu4 0.875 0.970 0.750

Values from the calculation:
- final energy (eV per atom) = -3.7971
- size of the total moment (μB/cell) = 0.0
- formation energy (eV/f.u.) = 0.0


Entry 3:
Below is a relaxed structure of TcIr3, with properties calculated at the PBE-GGA level.

Lattice parameters (Å, degrees): 2.755 4.395 4.782 90.00 90.00 90.00
Atoms (fractional coordinates):
Ir1 0.000 0.000 0.001
Ir2 0.500 0.000 0.500
Ir3 0.500 0.500 0.833
Tc1 0.000 0.500 0.333

Values from the calculation:
- final energy (eV per atom) = -9.3697
- size of the total moment (μB/cell) = 0.0
- formation energy (eV/f.u.) = -0.5


Entry 4:
Below is a relaxed structure of Y8TmTh2, with properties calculated at the PBE-GGA level.

Lattice parameters (Å, degrees): 5.967 8.985 9.146 60.58 74.91 58.01
Atoms (fractional coordinates):
Y1 0.835 0.100 0.230
Y2 0.835 0.330 0.770
Y3 0.297 0.418 0.000
Y4 0.500 0.789 0.421
Y5 0.500 0.211 0.579
Y6 0.703 0.582 0.000
Y7 0.165 0.670 0.230
Y8 0.165 0.900 0.770
Tm1 0.500 0.000 0.000
Th1 0.000 0.305 0.390
Th2 0.000 0.695 0.610

Values from the calculation:
- final energy (eV per atom) = -6.2509
- size of the total moment (μB/cell) = 0.0
- formation energy (eV/f.u.) = 2.3


Entry 5:
Below is a relaxed structure of LiLaW2, with properties calculated at the PBE-GGA level.

Lattice parameters (Å, degrees): 5.745 5.745 5.745 139.89 139.89 58.02
Atoms (fractional coordinates):
La1 0.250 0.750 0.500
Li1 0.750 0.250 0.500
W1 0.000 0.000 0.000
W2 0.500 0.500 0.000

Values from the calculation:
- final energy (eV per atom) = -7.4003
- size of the total moment (μB/cell) = 0.0
- formation energy (eV/f.u.) = 3.1


Entry 6:
Below is a relaxed structure of Y3Ho2Bi2, with properties calculated at the PBE-GGA level.

Lattice parameters (Å, degrees): 4.312 6.496 8.581 106.87 90.00 109.38
Atoms (fractional coordinates):
Y1 0.500 0.000 0.000
Y2 0.625 0.250 0.445
Y3 0.375 0.750 0.555
Ho1 0.876 0.752 0.229
Ho2 0.124 0.248 0.771
Bi1 0.823 0.646 0.812
Bi2 0.177 0.354 0.188

Values from the calculation:
- final energy (eV per atom) = -5.6576
- size of the total moment (μB/cell) = 0.0
- formation energy (eV/f.u.) = -3.3